No. 1
A relaxed structure of Nd9Er4Tl11. Source: Alexandria, functional PBE-GGA.

The structure in extended XYZ format:
```
24
Lattice="-0.9887 -0.8383 -3.3170 7.0442 -12.2472 0.9954 -12.7524 -3.8859 4.7833" Properties=species:S:1:pos:R:3 pbc="T T T"
Nd 2.1097 -8.6312 -0.3594
Nd -8.8068 -8.3401 2.8210
Nd -7.4771 -4.5821 1.4750
Nd 0.7800 -12.3892 0.9867
Nd -7.2058 -13.8563 3.7379
Nd 0.5088 -3.1150 -1.2762
Nd -3.8006 -15.2945 3.0863
Nd -2.8964 -1.6768 -0.6247
Nd -3.3485 -8.4857 1.2308
Er -5.8868 -10.2113 2.4235
Er -0.8103 -6.7601 0.0381
Er -2.5326 -11.6279 1.7817
Er -4.1644 -5.3434 0.6799
Tl -7.7584 -10.7252 5.0231
Tl 2.0501 -5.4078 0.7556
Tl -0.8620 -13.6380 3.7035
Tl -4.8463 -2.4950 2.0751
Tl -0.2020 -9.1867 2.3819
Tl -5.5062 -6.9464 3.3968
Tl 3.7173 -10.8421 1.6319
Tl -9.4256 -5.2910 4.1467
Tl 0.0000 0.0000 0.0000
Tl -4.3243 -12.2217 4.3777
Tl -1.3839 -3.9114 1.4010
```

## Properties
calculated total energy = -3.927 eV/atom
space group = Cmmm (65)
DOS(E_F) = 23.98 states/eV per cell

***

No. 2
A relaxed structure of GdTmHg2. Source: Alexandria, functional PBE-GGA.

The structure in extended XYZ format:
```
4
Lattice="3.6828 0.0000 0.0000 0.0000 3.6828 0.0000 0.0000 0.0000 7.5425" Properties=species:S:1:pos:R:3 pbc="T T T"
Gd 1.8414 1.8414 0.0000
Tm 1.8414 1.8414 3.7713
Hg 0.0000 0.0000 5.5577
Hg 0.0000 0.0000 1.9848
```

## Properties
space group = P4/mmm (123)
DOS(E_F) = 4.53 states/eV per cell
polymorph energy (0 for the lowest one) = 0.000 eV per atom

***

No. 3
A relaxed structure of Ac3Pt2Rh7. Source: Alexandria, functional PBE-GGA.

The structure in extended XYZ format:
```
12
Lattice="5.2295 0.0000 1.6368 2.3586 4.6674 1.6368 -0.1204 -0.0740 9.5569" Properties=species:S:1:pos:R:3 pbc="T T T"
Ac 0.0000 0.0000 0.0000
Ac 6.4861 3.9896 6.7942
Ac 0.9816 0.6038 6.0363
Pt 4.9445 3.0413 11.7198
Pt 2.5232 1.5520 1.1107
Rh 3.7338 2.2967 6.4152
Rh 5.7587 1.9357 4.5270
Rh 4.3249 4.2667 4.5270
Rh 3.1469 1.9357 3.7095
Rh 1.7090 2.6577 8.3035
Rh 4.3208 2.6577 9.1210
Rh 3.1428 0.3267 8.3035
```

## Properties
calculated total energy = -6.877 eV/atom
space group = R-3m (166)
DOS(E_F) = 11.93 states/eV per cell

***

Question: The highest DOS(E_F) belongs to which entry?
Answer: Nd9Er4Tl11

***

Repeat the first record exactly.
A relaxed structure of Nd9Er4Tl11. Source: Alexandria, functional PBE-GGA.

The structure in extended XYZ format:
```
24
Lattice="-0.9887 -0.8383 -3.3170 7.0442 -12.2472 0.9954 -12.7524 -3.8859 4.7833" Properties=species:S:1:pos:R:3 pbc="T T T"
Nd 2.1097 -8.6312 -0.3594
Nd -8.8068 -8.3401 2.8210
Nd -7.4771 -4.5821 1.4750
Nd 0.7800 -12.3892 0.9867
Nd -7.2058 -13.8563 3.7379
Nd 0.5088 -3.1150 -1.2762
Nd -3.8006 -15.2945 3.0863
Nd -2.8964 -1.6768 -0.6247
Nd -3.3485 -8.4857 1.2308
Er -5.8868 -10.2113 2.4235
Er -0.8103 -6.7601 0.0381
Er -2.5326 -11.6279 1.7817
Er -4.1644 -5.3434 0.6799
Tl -7.7584 -10.7252 5.0231
Tl 2.0501 -5.4078 0.7556
Tl -0.8620 -13.6380 3.7035
Tl -4.8463 -2.4950 2.0751
Tl -0.2020 -9.1867 2.3819
Tl -5.5062 -6.9464 3.3968
Tl 3.7173 -10.8421 1.6319
Tl -9.4256 -5.2910 4.1467
Tl 0.0000 0.0000 0.0000
Tl -4.3243 -12.2217 4.3777
Tl -1.3839 -3.9114 1.4010
```

## Properties
calculated total energy = -3.927 eV/atom
space group = Cmmm (65)
DOS(E_F) = 23.98 states/eV per cell